A plane-wave DFT calculation with GGA-PBE was carried out for SrCaCuPd after structural relaxation.

Lattice parameters (Å, degrees): 5.187 5.187 5.187 60.00 60.00 60.00
Sites, in units of the cell vectors:
Ca1 0.750 0.750 0.750
Pd1 0.500 0.500 0.500
Cu1 0.000 0.000 0.000
Sr1 0.250 0.250 0.250

Results
Energy above the lowest structure with this stoichiometry ... 38 kJ/mol of formula units
Symmetry ... F-43m
Uncorrected energy ... -14.19 eV per cell
Formation enthalpy at 0 K ... -0.30 eV per atom